The following is a GGA-PBE calculation of a relaxed structure of BaOsRh2, from Alexandria via LeMat-Bulk.

a b c (Å): 4.7633 4.7633 4.7633
angles (deg): 60.00 60.00 60.00
With the nearest neighbours (Å) after each atom.
Element x y z (fractional)
Ba  0.0000  0.0000  0.0000  4 Os 2.92, 4 Rh 2.92
Os  0.2500  0.2500  0.2500  4 Ba 2.92, 4 Rh 2.92
Rh  0.5000  0.5000  0.5000  4 Os 2.92, 4 Rh 2.92
Rh  0.7500  0.7500  0.7500  4 Ba 2.92, 4 Rh 2.92

Results
* total magnetization: 0.56 μB/atom
* density: 11.59 Mg/m³
* uncorrected energy: -5.917 eV per atom
* energy of formation: 1.046 eV per atom